CaCu4Os (PBE, relaxed); total magnetic moment = 0.000 μB/atom; Fermi-level density of states = 2.27 states/eV/f.u.; energy of formation = 228 meV per atom; SG = F-43m, No. 216
1.0
0.000 3.508 3.508
3.508 0.000 3.508
3.508 3.508 0.000
Ca Cu Os
1 4 1
Cartesian
0.000 0.000 0.000
4.378 2.638 2.638
2.638 4.378 2.638
2.638 2.638 4.378
4.378 4.378 4.378
1.754 1.754 1.754



AsIrNO2 (PBE, relaxed); formation energy from raw total energies = 0.87 eV/atom; total magnetic moment = 0.420 μB/atom; Fermi-level density of states = 3.57 states/eV/f.u.; SG = P4/mmm, No. 123
1.0
3.678 0.000 0.000
0.000 3.678 0.000
0.000 0.000 4.023
As Ir N O
1 1 1 2
Cartesian
0.000 0.000 0.000
1.839 1.839 2.011
0.000 0.000 2.011
0.000 1.839 0.000
1.839 0.000 0.000



no.,uncorrected energy (eV/atom)
1,-4.7078
2,-5.4764